DFT (PBE) results for a relaxed Ca2Ac4Co crystal.

The calculation puts the relative energy among the computed polymorphs at 77 meV/atom. The formation energy from the elements is 147 meV per atom. The total energy comes out at -3.79 eV/atom.

It has space group I4/mmm (No. 139), with a = 5.6498 Å, b = 5.6498 Å, c = 19.1198 Å, α = 90.00°, β = 90.00° and γ = 90.00°. The distinct sites, in fractional coordinates, are Ca at (0.0000, 0.0000, 0.1512), Ac at (0.0000, 0.0000, 0.3491), Ac at (0.0000, 0.5000, 0.0000) and Co at (0.0000, 0.0000, 0.5000).